[1]
# TmSc2Cu2

TmSc2Cu2 after structural relaxation (PBE-GGA, Alexandria via LeMat-Bulk).

a b c (Å): 3.3225 4.8244 12.4580
angles (deg): 90.00 97.65 90.00
With the nearest neighbours (Å) after each atom.
Sites, in units of the cell vectors:
Tm  0.1428  0.2500  0.2844  6 Cu 2.93-2.96, 2 Sc 3.27
Tm  0.8572  0.7500  0.7156  6 Cu 2.93-2.96, 2 Sc 3.27
Sc  0.0464  0.7500  0.0925  8 Cu 2.76-2.93
Sc  0.2318  0.7500  0.4633  2 Cu 2.79, 4 Sc 3.07
Sc  0.7682  0.2500  0.5367  2 Cu 2.79, 4 Sc 3.07
Sc  0.9536  0.2500  0.9075  8 Cu 2.76-2.93
Cu  0.3584  0.2500  0.7183  4 Sc 2.79-2.87, 4 Tm 2.93
Cu  0.4559  0.7500  0.9139  6 Sc 2.76-2.93, 2 Tm 2.96
Cu  0.5441  0.2500  0.0861  6 Sc 2.76-2.93, 2 Tm 2.96
Cu  0.6416  0.7500  0.2817  4 Sc 2.79-2.87, 4 Tm 2.93

Calculated values
The space group is No. 11. The calculation puts the energy at -5.268 eV/atom. Its density of states at the Fermi level is 8.77 states/eV/cell.



[2]
# Tm2ScCu4

Tm2ScCu4 after structural relaxation (PBE-GGA, Alexandria via LeMat-Bulk).

a b c (Å): 6.6852 6.6852 6.6852
angles (deg): 137.00 137.00 62.44
With the nearest neighbours (Å) after each atom.
Sites, in units of the cell vectors:
Tm  0.2181  0.2181  0.0000  4 Cu 2.73
Tm  0.7819  0.7819  0.0000  4 Cu 2.73
Sc  0.5000  0.5000  0.0000  8 Cu 2.76
Cu  0.1121  0.6121  0.5000  1 Cu 2.56, 2 Tm 2.73, 2 Sc 2.76
Cu  0.3879  0.8879  0.5000  1 Cu 2.56, 2 Tm 2.73, 2 Sc 2.76
Cu  0.6121  0.1121  0.5000  1 Cu 2.56, 2 Tm 2.73, 2 Sc 2.76
Cu  0.8879  0.3879  0.5000  1 Cu 2.56, 2 Tm 2.73, 2 Sc 2.76

Calculated values
The space group is No. 139. The calculation puts the energy at -4.569 eV/atom. Its density of states at the Fermi level is 5.67 states/eV/cell.



[3]
# TmSc3Cu8

TmSc3Cu8 after structural relaxation (PBE-GGA, Alexandria via LeMat-Bulk).

a b c (Å): 5.1109 5.1109 8.2439
angles (deg): 90.00 90.00 120.00
With the nearest neighbours (Å) after each atom.
Sites, in units of the cell vectors:
Tm  0.0000  0.0000  0.0000  12 Cu 2.98-3.00, 4 Sc 3.14-3.24
Sc  0.0000  0.0000  0.3926  12 Cu 2.83-3.06, 3 Sc 3.06
Sc  0.6667  0.3333  0.4895  12 Cu 2.87-3.02, 4 Sc 3.06-3.14
Sc  0.6667  0.3333  0.8707  12 Cu 2.98-3.01, 3 Tm 3.14, 1 Sc 3.14
Cu  0.1662  0.3324  0.6857  6 Cu 2.54-2.56, 1 Sc 2.83
Cu  0.1662  0.8338  0.6857  6 Cu 2.54-2.56, 1 Sc 2.83
Cu  0.3333  0.6667  0.4352  6 Cu 2.51-2.54
Cu  0.3333  0.6667  0.9375  6 Cu 2.55-2.56
Cu  0.5017  0.0034  0.1895  6 Cu 2.51-2.58
Cu  0.5017  0.4983  0.1895  6 Cu 2.51-2.58
Cu  0.6676  0.8338  0.6857  6 Cu 2.54-2.56, 1 Sc 2.83
Cu  0.9966  0.4983  0.1895  6 Cu 2.51-2.58

Calculated values
The space group is No. 156. The calculation puts the energy at -4.923 eV/atom. Its density of states at the Fermi level is 7.43 states/eV/cell.



Formation enthalpy at 0 K values, unit eV/f.u., following the record order: -1.01 -0.33 -2.84.